No. 1
DFT (GGA-PBE) results for CuIrPb after structural relaxation.

```
CuIrPb
1.0
4.3984 0.0000 0.0000
-2.1992 3.8091 0.0000
0.0000 0.0000 3.1769
Pb Cu Ir
1 1 1
Direct
0.3333 0.6667 0.6737
0.0000 0.0000 0.0831
0.6667 0.3333 0.2432
```

Polymorph energy (0 for the lowest one) ... 0.37 eV/f.u.
Formation enthalpy at 0 K ... 0.47 eV/atom
Mass density ... 14.4 g cm⁻³
Symmetry ... P3m1



No. 2
DFT (GGA-PBE) results for PmPr2Dy4 after structural relaxation.

```
PmPr2Dy4
1.0
7.7797 -1.5766 1.9652
1.0669 7.5296 1.7573
-2.1611 -1.4116 7.3658
Dy Pr Pm
8 4 2
Direct
0.2813 0.7496 0.7522
0.7187 0.7485 0.2487
0.2813 0.2523 0.2497
0.7187 0.2512 0.7512
0.2813 0.7488 0.2488
0.7187 0.2504 0.2478
0.2813 0.2515 0.7513
0.7187 0.7477 0.7503
0.0000 0.0000 0.0000
0.0000 0.5000 0.5000
0.5000 0.0000 0.5000
0.0000 0.0000 0.5000
0.5000 0.5000 0.0000
0.0000 0.5000 0.0000
```

Polymorph energy (0 for the lowest one) ... 0.00 eV/f.u.
Formation enthalpy at 0 K ... 0.31 eV/atom
Mass density ... 7.2 g cm⁻³
Symmetry ... C2/m



No. 3
DFT (GGA-PBE) results for VFeRuC2 after structural relaxation.

```
VFeRuC2
1.0
-2.4400 -0.0467 2.9130
-3.2298 -1.7226 -2.7330
1.1264 -3.5193 0.8871
C Fe Ru V
2 1 1 1
Direct
0.0000 0.0000 0.5000
0.5000 0.0000 0.0000
0.0000 0.5000 0.0000
0.5000 0.5000 0.5000
0.0000 0.0000 0.0000
```

Formation enthalpy at 0 K ... 1.85 eV/atom
Mass density ... 5.8 g cm⁻³
Symmetry ... P4/mmm



No. 4
DFT (GGA-PBE) results for Na4Dy3InTe8 after structural relaxation.

```
Na4Dy3InTe8
1.0
8.8223 0.0000 0.0000
0.0000 9.1393 0.2113
-4.4111 -4.4072 6.2422
Te Na Dy In
8 4 3 1
Direct
0.2560 0.2681 0.5119
0.2526 0.2703 0.0114
0.7587 0.2703 0.0114
0.2415 0.7299 0.4830
0.7440 0.7319 0.4881
0.2413 0.7297 0.9886
0.7474 0.7297 0.9886
0.7585 0.2701 0.5170
0.5000 0.0000 0.5000
0.5000 0.0000 0.0000
0.0000 0.0000 0.0000
0.0000 0.0000 0.5000
0.5000 0.5000 0.0000
0.0000 0.5000 0.5000
0.5000 0.5000 0.5000
0.0000 0.5000 0.0000
```

Mass density ... 5.6 g cm⁻³
Raw formation energy ... -1.105 eV per atom
Symmetry ... R-3m



No. 5
DFT (GGA-PBE) results for Tb6TeP2S3 after structural relaxation.

```
Tb6TeP2S3
1.0
4.0247 0.0000 0.0000
0.0000 8.1263 0.3516
-2.0123 -2.2792 8.4820
Tb Te S P
6 1 3 2
Direct
0.3308 0.4215 0.6616
0.6692 0.5785 0.3384
0.9945 0.7191 0.9890
0.6772 0.1031 0.3544
0.0055 0.2809 0.0110
0.3228 0.8969 0.6456
0.5000 0.0000 0.0000
0.8376 0.1650 0.6753
0.1624 0.8350 0.3247
0.5000 0.5000 0.0000
0.1678 0.3353 0.3355
0.8322 0.6647 0.6645
```

Mass density ... 7.3 g cm⁻³
Raw formation energy ... -1.789 eV per atom
Symmetry ... C2/m



No. 6
DFT (GGA-PBE) results for Y5AlIn4 after structural relaxation.

```
Y5AlIn4
1.0
3.6789 0.0000 0.0000
0.0000 3.6789 0.0000
0.0000 0.0000 19.2616
Al In Y
1 4 5
Direct
0.0000 0.0000 0.0000
0.0000 0.0000 0.8068
0.0000 0.0000 0.1932
0.0000 0.0000 0.6029
0.0000 0.0000 0.3971
0.5000 0.5000 0.0919
0.5000 0.5000 0.9081
0.5000 0.5000 0.2944
0.5000 0.5000 0.7056
0.5000 0.5000 0.5000
```

Formation enthalpy at 0 K ... -0.48 eV/atom
Mass density ... 5.9 g cm⁻³
Symmetry ... P4/mmm



- Which value of mass density does entry 6 give?
  5.9 g cm⁻³